# 1
Tb8Pm2Sc: relaxed, PBE.

a b c (Å): 5.8528 8.9107 9.1585
angles (deg): 60.89 75.17 58.24
Closest atoms and distances in Å follow each position.
Fractional positions:
1 Tb 0.5000 0.7960 0.4080  1 Sc 3.26, 2 Pm 3.35, 4 Tb 3.64-3.65
2 Tb 0.1694 0.6729 0.2270  3 Tb 3.21-3.50, 2 Pm 3.44-3.48
3 Tb 0.8306 0.1001 0.2270  3 Tb 3.21-3.50, 2 Pm 3.44-3.48
4 Tb 0.5000 0.2040 0.5920  1 Sc 3.26, 2 Pm 3.35, 4 Tb 3.64-3.65
5 Tb 0.8306 0.3271 0.7730  3 Tb 3.21-3.50, 2 Pm 3.44-3.48
6 Tb 0.7006 0.5857 0.0000  3 Tb 3.00-3.21, 1 Sc 3.23
7 Tb 0.2994 0.4143 0.0000  3 Tb 3.00-3.21, 1 Sc 3.23
8 Tb 0.1694 0.8999 0.7730  3 Tb 3.21-3.50, 2 Pm 3.44-3.48
9 Pm 0.0000 0.3062 0.3876  8 Tb 3.35-3.48
10 Pm 0.0000 0.6938 0.6124  8 Tb 3.35-3.48
11 Sc 0.5000 0.0000 0.0000  4 Tb 3.23-3.26

ΔH_f (0 K) = 16.2 kJ per mole of atoms
Total moment = 0.00 μB/f.u.
VASP energy = -4.64 eV per atom

***

# 2
Tb3Pm2Sc8: relaxed, PBE.

a b c (Å): 6.6200 8.7737 8.9854
angles (deg): 119.22 119.20 90.00
Closest atoms and distances in Å follow each position.
Fractional positions:
1 Tb 0.0000 0.1821 0.0000  1 Tb 3.20, 6 Sc 3.20-3.48
2 Tb 0.5000 0.0000 0.0000  6 Sc 2.98-3.23
3 Tb 0.0000 0.8179 0.0000  1 Tb 3.20, 6 Sc 3.20-3.48
4 Sc 0.8889 0.5664 0.1329  6 Sc 3.03-3.36, 2 Tb 3.20, 1 Pm 3.26
5 Sc 0.0063 0.8042 0.6084  1 Tb 2.98, 2 Sc 3.11, 1 Pm 3.33
6 Sc 0.1111 0.4336 0.8671  6 Sc 3.03-3.36, 2 Tb 3.20, 1 Pm 3.26
7 Sc 0.5850 0.8024 0.2399  5 Sc 3.03-3.27, 1 Tb 3.23, 1 Pm 3.28
8 Sc 0.4150 0.5624 0.7601  5 Sc 3.03-3.27, 1 Tb 3.23, 1 Pm 3.28
9 Sc 0.5850 0.4376 0.2399  5 Sc 3.03-3.27, 1 Tb 3.23, 1 Pm 3.28
10 Sc 0.9937 0.1958 0.3916  1 Tb 2.98, 2 Sc 3.11, 1 Pm 3.33
11 Sc 0.4150 0.1976 0.7601  5 Sc 3.03-3.27, 1 Tb 3.23, 1 Pm 3.28
12 Pm 0.4525 0.7653 0.5306  7 Sc 3.26-3.40, 1 Tb 3.52
13 Pm 0.5475 0.2347 0.4694  7 Sc 3.26-3.40, 1 Tb 3.52

ΔH_f (0 K) = 24.4 kJ per mole of atoms
Total moment = 0.00 μB/f.u.
VASP energy = -5.44 eV per atom

***

# 3
Tb4Pm8Sc: relaxed, PBE.

a b c (Å): 11.1043 11.1043 7.8153
angles (deg): 90.00 135.27 120.00
Closest atoms and distances in Å follow each position.
Fractional positions:
1 Tb 0.5000 0.0000 0.0000  8 Pm 3.41-3.43
2 Tb 0.0000 0.0000 0.0000  8 Pm 3.24-3.30
3 Tb 0.5000 0.5000 0.0000  8 Pm 3.41-3.43
4 Tb 0.0000 0.5000 0.0000  8 Pm 3.41-3.43
5 Pm 0.9936 0.7525 0.2347  4 Tb 3.30-3.42, 1 Sc 3.49
6 Pm 0.0064 0.7589 0.7653  4 Tb 3.30-3.42, 1 Sc 3.49
7 Pm 0.9936 0.2411 0.2347  4 Tb 3.30-3.42, 1 Sc 3.49
8 Pm 0.5171 0.7586 0.2757  4 Tb 3.24-3.43, 1 Sc 3.47
9 Pm 0.5178 0.7589 0.7653  4 Tb 3.30-3.42, 1 Sc 3.49
10 Pm 0.4822 0.2411 0.2347  4 Tb 3.30-3.42, 1 Sc 3.49
11 Pm 0.4829 0.2414 0.7243  4 Tb 3.24-3.43, 1 Sc 3.47
12 Pm 0.0064 0.2475 0.7653  4 Tb 3.30-3.42, 1 Sc 3.49
13 Sc 0.0000 0.5000 0.5000  8 Pm 3.47-3.49

ΔH_f (0 K) = 46.9 kJ per mole of atoms
Total moment = 0.00 μB/f.u.
VASP energy = -4.35 eV per atom

***

# 4
Tb3Pm3Sc2: relaxed, PBE.

a b c (Å): 5.0041 4.9785 9.8786
angles (deg): 90.00 90.00 90.00
Closest atoms and distances in Å follow each position.
Fractional positions:
1 Tb 0.5000 0.5000 0.2486  2 Tb 3.50, 6 Pm 3.51-3.53, 4 Sc 3.53
2 Tb 0.5000 0.5000 0.7514  2 Tb 3.50, 6 Pm 3.51-3.53, 4 Sc 3.53
3 Tb 0.5000 0.0000 0.0000  4 Tb 3.50, 4 Sc 3.51, 4 Pm 3.53
4 Pm 0.0000 0.5000 0.0000  4 Sc 3.50, 8 Tb 3.51-3.53
5 Pm 0.0000 0.5000 0.5000  4 Sc 3.52, 4 Tb 3.53, 4 Pm 3.53
6 Pm 0.5000 0.0000 0.5000  4 Tb 3.52, 4 Sc 3.53, 4 Pm 3.53
7 Sc 0.0000 0.0000 0.7514  6 Pm 3.50-3.53, 6 Tb 3.51-3.53
8 Sc 0.0000 0.0000 0.2486  6 Pm 3.50-3.53, 6 Tb 3.51-3.53

ΔH_f (0 K) = 3.8 kJ per mole of atoms
Total moment = 0.00 μB/f.u.
VASP energy = -5.06 eV per atom

***

# 5
TbPm2Sc4: relaxed, PBE.

a b c (Å): 6.5102 6.5102 6.5102
angles (deg): 121.87 103.65 103.65
Closest atoms and distances in Å follow each position.
Fractional positions:
1 Sc 0.0000 0.6928 0.3072  4 Sc 3.10-3.42, 4 Pm 3.32
2 Sc 0.6143 0.3072 0.3072  4 Sc 3.10-3.42, 4 Pm 3.32
3 Sc 0.0000 0.3072 0.6928  4 Sc 3.10-3.42, 4 Pm 3.32
4 Sc 0.3857 0.6928 0.6928  4 Sc 3.10-3.42, 4 Pm 3.32
5 Pm 0.5000 0.7500 0.2500  2 Pm 3.16, 8 Sc 3.32
6 Pm 0.5000 0.2500 0.7500  2 Pm 3.16, 8 Sc 3.32
7 Tb 0.0000 0.0000 0.0000  12 Sc 3.50-3.85

ΔH_f (0 K) = 25.6 kJ per mole of atoms
Total moment = 0.03 μB/f.u.
VASP energy = -5.37 eV per atom

***

# 6
Tb7Pm3Sc2: relaxed, PBE.

a b c (Å): 6.4586 6.4586 11.6990
angles (deg): 73.98 73.98 60.00
Closest atoms and distances in Å follow each position.
Fractional positions:
1 Pm 0.0000 0.0000 0.0000  6 Sc 3.73
2 Pm 0.8449 0.8449 0.4653  12 Tb 3.72-4.06, 3 Pm 3.81
3 Pm 0.1551 0.1551 0.5347  12 Tb 3.72-4.06, 3 Pm 3.81
4 Tb 0.0807 0.5817 0.7560  5 Tb 3.22-3.40, 2 Sc 3.28-3.29
5 Tb 0.5817 0.5817 0.7560  5 Tb 3.22-3.40, 2 Sc 3.28-3.29
6 Tb 0.9193 0.4183 0.2440  5 Tb 3.22-3.40, 2 Sc 3.28-3.29
7 Tb 0.4183 0.4183 0.2440  5 Tb 3.22-3.40, 2 Sc 3.28-3.29
8 Tb 0.5000 0.5000 0.5000  6 Tb 3.40, 6 Pm 3.75
9 Tb 0.5817 0.0807 0.7560  5 Tb 3.22-3.40, 2 Sc 3.28-3.29
10 Tb 0.4183 0.9193 0.2440  5 Tb 3.22-3.40, 2 Sc 3.28-3.29
11 Sc 0.6667 0.6667 0.9998  6 Tb 3.28-3.29
12 Sc 0.3333 0.3333 0.0002  6 Tb 3.28-3.29

ΔH_f (0 K) = 28.5 kJ per mole of atoms
Total moment = 0.00 μB/f.u.
VASP energy = -4.65 eV per atom